VASP calculation (PBE) on an optimized crystal structure of CaZn4Au. Values from VASP.

```
&SYSTEM
  ibrav = 0, nat = 12, ntyp = 3
/
ATOMIC_SPECIES
Ca 40.08 Ca.upf
Zn 65.41 Zn.upf
Au 196.97 Au.upf
ATOMIC_POSITIONS angstrom
Ca 2.099 6.057 5.126
Ca 2.099 -6.057 1.709
Zn 2.099 6.922 1.709
Zn 2.099 2.654 3.829
Zn 2.099 2.654 6.423
Zn 2.099 0.000 0.000
Zn 2.099 0.000 3.417
Zn 2.099 -2.654 0.412
Zn 2.099 -2.654 3.005
Zn 2.099 -6.922 5.126
Au 2.099 4.241 1.709
Au 2.099 -4.241 5.126
CELL_PARAMETERS angstrom
2.099 -7.996 0.000
2.099 7.996 0.000
0.000 0.000 6.835
```

Properties
As for the formation energy: -261 meV per atom. For the excess energy over the best structure of this formula in the dataset, the calculation gives 0 meV/atom.

=====

VASP calculation (PBE) on an optimized crystal structure of Ca3Zn3Au8. Values from VASP.

```
&SYSTEM
  ibrav = 0, nat = 14, ntyp = 3
/
ATOMIC_SPECIES
Ca 40.08 Ca.upf
Zn 65.41 Zn.upf
Au 196.97 Au.upf
ATOMIC_POSITIONS angstrom
Ca 0.000 0.000 0.000
Ca 3.279 0.000 2.366
Ca 8.137 0.000 5.228
Zn -2.508 0.000 3.797
Zn 0.406 0.000 7.526
Zn 11.010 0.000 0.068
Au 0.045 0.000 3.167
Au -2.040 0.000 6.441
Au 1.979 0.000 5.530
Au 6.534 0.000 2.424
Au 4.882 0.000 5.170
Au 9.438 0.000 2.064
Au 13.456 0.000 1.153
Au 11.371 0.000 4.427
CELL_PARAMETERS angstrom
8.216 -2.310 0.000
8.216 2.310 0.000
-5.016 0.000 7.594
```

Properties
As for the formation energy: -557 meV per atom. For the excess energy over the best structure of this formula in the dataset, the calculation gives 0 meV/atom.

=====

VASP calculation (PBE) on an optimized crystal structure of CaZn2Au7. Values from VASP.

```
&SYSTEM
  ibrav = 0, nat = 10, ntyp = 3
/
ATOMIC_SPECIES
Ca 40.08 Ca.upf
Zn 65.41 Zn.upf
Au 196.97 Au.upf
ATOMIC_POSITIONS angstrom
Ca 0.000 0.000 0.000
Zn 3.423 3.649 2.061
Zn 3.423 -3.649 2.061
Au 1.367 1.901 2.061
Au 1.367 -1.901 2.061
Au 3.423 1.964 0.000
Au 3.423 0.000 2.061
Au 3.423 -1.964 0.000
Au 5.479 1.901 2.061
Au 5.479 -1.901 2.061
CELL_PARAMETERS angstrom
3.423 -7.754 0.000
3.423 7.754 0.000
0.000 0.000 4.122
```

Properties
As for the formation energy: -221 meV per atom.

=====

VASP calculation (PBE) on an optimized crystal structure of Ca2ZnAu2. Values from VASP.

```
&SYSTEM
  ibrav = 0, nat = 10, ntyp = 3
/
ATOMIC_SPECIES
Ca 40.08 Ca.upf
Zn 65.41 Zn.upf
Au 196.97 Au.upf
ATOMIC_POSITIONS angstrom
Ca 1.376 2.780 0.000
Ca 2.780 6.936 0.000
Ca 5.532 1.376 0.000
Ca 6.936 5.532 0.000
Zn 0.000 0.000 0.000
Zn 4.156 4.156 0.000
Au 1.064 5.221 1.849
Au 3.092 1.064 1.849
Au 5.221 7.248 1.849
Au 7.248 3.092 1.849
CELL_PARAMETERS angstrom
8.312 0.000 0.000
0.000 8.312 0.000
0.000 0.000 3.699
```

Properties
As for the formation energy: -444 meV per atom.

=====

VASP calculation (PBE) on an optimized crystal structure of CaZn6Au12. Values from VASP.

```
&SYSTEM
  ibrav = 0, nat = 19, ntyp = 3
/
ATOMIC_SPECIES
Ca 40.08 Ca.upf
Zn 65.41 Zn.upf
Au 196.97 Au.upf
ATOMIC_POSITIONS angstrom
Ca 0.000 0.000 0.000
Zn 0.000 -2.813 3.718
Zn -2.436 1.406 3.718
Zn -2.436 -1.406 5.082
Zn 2.436 1.406 3.718
Zn 2.436 -1.406 5.082
Zn 0.000 2.813 5.082
Au -2.278 -3.945 4.400
Au -4.555 0.000 4.400
Au -1.470 -0.849 2.566
Au 1.470 -0.849 2.566
Au 0.000 1.697 2.566
Au 2.278 -3.945 4.400
Au -2.278 3.945 4.400
Au 0.000 -1.697 6.234
Au -1.470 0.849 6.234
Au 1.470 0.849 6.234
Au 4.555 0.000 4.400
Au 2.278 3.945 4.400
CELL_PARAMETERS angstrom
5.966 3.445 2.933
-5.966 3.445 2.933
0.000 -6.889 2.933
```

Properties
As for the formation energy: -201 meV per atom.

=====

VASP calculation (PBE) on an optimized crystal structure of Ca2ZnAu3. Values from VASP.

```
&SYSTEM
  ibrav = 0, nat = 6, ntyp = 3
/
ATOMIC_SPECIES
Ca 40.08 Ca.upf
Zn 65.41 Zn.upf
Au 196.97 Au.upf
ATOMIC_POSITIONS angstrom
Ca 0.000 0.000 0.000
Ca 0.000 2.329 3.809
Zn 1.840 2.329 6.518
Au 1.840 0.000 2.642
Au 1.840 0.000 5.422
Au 1.840 2.329 1.070
CELL_PARAMETERS angstrom
3.680 0.000 0.000
0.000 4.659 0.000
0.000 0.000 8.027
```

Properties
As for the formation energy: -667 meV per atom. For the excess energy over the best structure of this formula in the dataset, the calculation gives 0 meV/atom.

=====

VASP calculation (PBE) on an optimized crystal structure of Ca4ZnAu3. Values from VASP.

```
&SYSTEM
  ibrav = 0, nat = 8, ntyp = 3
/
ATOMIC_SPECIES
Ca 40.08 Ca.upf
Zn 65.41 Zn.upf
Au 196.97 Au.upf
ATOMIC_POSITIONS angstrom
Ca 0.000 0.000 0.000
Ca 0.000 2.268 3.118
Ca 2.056 0.000 5.502
Ca 2.056 2.268 8.707
Zn 0.000 0.000 7.885
Au 0.000 2.268 6.352
Au 2.056 0.000 2.453
Au 2.056 2.268 0.612
CELL_PARAMETERS angstrom
4.112 0.000 0.000
0.000 4.535 0.000
0.000 0.000 11.160
```

Properties
As for the formation energy: -674 meV per atom.

=====

VASP calculation (PBE) on an optimized crystal structure of Ca2ZnAu6. Values from VASP.

```
&SYSTEM
  ibrav = 0, nat = 9, ntyp = 3
/
ATOMIC_SPECIES
Ca 40.08 Ca.upf
Zn 65.41 Zn.upf
Au 196.97 Au.upf
ATOMIC_POSITIONS angstrom
Ca 1.734 0.000 2.017
Ca 8.671 0.000 3.928
Zn 5.203 0.000 2.973
Au 4.294 1.598 1.119
Au 6.111 1.598 4.826
Au 3.369 0.000 4.828
Au 7.037 0.000 1.118
Au 4.294 -1.598 1.119
Au 6.111 -1.598 4.826
CELL_PARAMETERS angstrom
5.213 -3.024 0.000
5.213 3.024 0.000
-0.020 0.000 5.945
```

Properties
As for the formation energy: -539 meV per atom.

=====

VASP calculation (PBE) on an optimized crystal structure of Ca5Zn2Au5. Values from VASP.

```
&SYSTEM
  ibrav = 0, nat = 12, ntyp = 3
/
ATOMIC_SPECIES
Ca 40.08 Ca.upf
Zn 65.41 Zn.upf
Au 196.97 Au.upf
ATOMIC_POSITIONS angstrom
Ca 0.000 0.000 0.000
Ca -1.487 0.000 3.610
Ca -2.969 0.000 7.213
Ca 11.372 0.000 1.525
Ca 9.889 0.000 5.129
Zn 0.141 0.000 6.486
Zn 8.261 0.000 2.252
Au 1.699 0.000 2.927
Au 5.810 0.000 1.280
Au 4.201 0.000 4.369
Au 2.593 0.000 7.459
Au 6.704 0.000 5.811
CELL_PARAMETERS angstrom
7.901 -2.116 0.000
7.901 2.116 0.000
-7.400 0.000 8.738
```

Properties
As for the formation energy: -653 meV per atom.

=====

VASP calculation (PBE) on an optimized crystal structure of CaZn2Au8. Values from VASP.

```
&SYSTEM
  ibrav = 0, nat = 11, ntyp = 3
/
ATOMIC_SPECIES
Ca 40.08 Ca.upf
Zn 65.41 Zn.upf
Au 196.97 Au.upf
ATOMIC_POSITIONS angstrom
Ca 0.000 0.000 0.000
Zn 3.373 0.000 2.196
Zn 9.218 0.000 4.238
Au 0.465 0.000 3.009
Au 0.546 0.000 5.943
Au 3.370 0.000 4.974
Au 6.144 0.000 1.790
Au 6.447 0.000 4.644
Au 9.221 0.000 1.460
Au 12.045 0.000 0.491
Au 12.126 0.000 3.425
CELL_PARAMETERS angstrom
7.470 -2.084 0.000
7.470 2.084 0.000
-2.349 0.000 6.434
```

Properties
As for the formation energy: -283 meV per atom. For the excess energy over the best structure of this formula in the dataset, the calculation gives 0 meV/atom.

=====

VASP calculation (PBE) on an optimized crystal structure of CaZn2Au4. Values from VASP.

```
&SYSTEM
  ibrav = 0, nat = 7, ntyp = 3
/
ATOMIC_SPECIES
Ca 40.08 Ca.upf
Zn 65.41 Zn.upf
Au 196.97 Au.upf
ATOMIC_POSITIONS angstrom
Ca 0.000 0.000 0.000
Zn 3.510 0.000 1.345
Zn 0.000 3.510 1.345
Au 2.102 2.102 0.000
Au 1.408 -1.408 2.689
Au -1.408 1.408 2.689
Au 1.408 1.408 2.689
CELL_PARAMETERS angstrom
-3.510 3.510 2.689
3.510 -3.510 2.689
3.510 3.510 -2.689
```

Properties
As for the formation energy: -464 meV per atom.

=====

VASP calculation (PBE) on an optimized crystal structure of CaZn3Au2. Values from VASP.

```
&SYSTEM
  ibrav = 0, nat = 12, ntyp = 3
/
ATOMIC_SPECIES
Ca 40.08 Ca.upf
Zn 65.41 Zn.upf
Au 196.97 Au.upf
ATOMIC_POSITIONS angstrom
Ca 2.077 0.000 0.399
Ca 9.958 0.000 6.915
Zn -0.845 0.000 2.804
Zn 2.927 0.000 3.867
Zn 5.160 0.000 2.294
Zn 6.875 0.000 5.019
Zn 9.107 0.000 3.447
Zn 12.880 0.000 4.509
Au 0.592 0.000 5.136
Au 4.459 0.000 5.996
Au 7.576 0.000 1.317
Au 11.443 0.000 2.178
CELL_PARAMETERS angstrom
7.871 -2.094 0.000
7.871 2.094 0.000
-3.707 0.000 7.313
```

Properties
As for the formation energy: -391 meV per atom.

=====

VASP calculation (PBE) on an optimized crystal structure of Ca6ZnAu3. Values from VASP.

```
&SYSTEM
  ibrav = 0, nat = 20, ntyp = 3
/
ATOMIC_SPECIES
Ca 40.08 Ca.upf
Zn 65.41 Zn.upf
Au 196.97 Au.upf
ATOMIC_POSITIONS angstrom
Ca -1.548 1.094 4.761
Ca -3.410 1.094 11.151
Ca 1.195 3.283 3.991
Ca 0.018 3.283 9.777
Ca 3.318 3.283 1.197
Ca 1.684 1.094 7.004
Ca 4.667 3.283 5.280
Ca 3.032 1.094 11.087
Ca 6.332 1.094 2.507
Ca 5.155 1.094 8.293
Ca 9.760 3.283 1.133
Ca 7.898 3.283 7.523
Zn 3.253 1.094 3.528
Zn 3.098 3.283 8.756
Au 0.829 1.094 1.973
Au -0.335 3.283 6.580
Au -0.131 1.094 11.837
Au 6.481 3.283 0.447
Au 6.686 1.094 5.704
Au 5.522 3.283 10.311
CELL_PARAMETERS angstrom
11.031 0.000 0.000
0.000 4.377 0.000
-4.680 0.000 12.284
```

Properties
As for the formation energy: -527 meV per atom.

=====

VASP calculation (PBE) on an optimized crystal structure of Ca6Zn5Au. Values from VASP.

```
&SYSTEM
  ibrav = 0, nat = 12, ntyp = 3
/
ATOMIC_SPECIES
Ca 40.08 Ca.upf
Zn 65.41 Zn.upf
Au 196.97 Au.upf
ATOMIC_POSITIONS angstrom
Ca 0.000 0.000 1.783
Ca 0.000 0.000 5.457
Ca 2.616 2.583 1.804
Ca 2.616 2.583 5.436
Ca 2.616 -2.583 1.804
Ca 2.616 -2.583 5.436
Zn 2.616 5.234 3.620
Zn 2.616 5.145 0.000
Zn 2.616 0.000 3.620
Zn 2.616 -5.145 0.000
Zn 2.616 -5.234 3.620
Au 2.616 0.000 0.000
CELL_PARAMETERS angstrom
2.616 -7.840 0.000
2.616 7.840 0.000
0.000 0.000 7.239
```

Properties
As for the formation energy: -328 meV per atom.

=====

VASP calculation (PBE) on an optimized crystal structure of CaZn9Au2. Values from VASP.

```
&SYSTEM
  ibrav = 0, nat = 12, ntyp = 3
/
ATOMIC_SPECIES
Ca 40.08 Ca.upf
Zn 65.41 Zn.upf
Au 196.97 Au.upf
ATOMIC_POSITIONS angstrom
Ca 0.000 0.000 0.000
Zn -2.184 3.783 0.000
Zn 0.000 2.753 1.588
Zn -1.985 6.190 1.588
Zn 2.384 1.376 1.588
Zn 4.368 0.000 0.000
Zn 2.184 3.783 0.000
Zn 1.985 6.190 1.588
Zn 6.353 1.376 1.588
Zn 4.368 4.814 1.588
Au 0.000 5.044 0.000
Au 4.368 2.522 0.000
CELL_PARAMETERS angstrom
8.737 0.000 0.000
-4.368 7.566 0.000
0.000 0.000 3.177
```

Properties
As for the formation energy: -151 meV per atom. For the excess energy over the best structure of this formula in the dataset, the calculation gives 98 meV/atom.

=====

VASP calculation (PBE) on an optimized crystal structure of Ca2Zn5Au3. Values from VASP.

```
&SYSTEM
  ibrav = 0, nat = 20, ntyp = 3
/
ATOMIC_SPECIES
Ca 40.08 Ca.upf
Zn 65.41 Zn.upf
Au 196.97 Au.upf
ATOMIC_POSITIONS angstrom
Ca 2.263 12.049 3.494
Ca 2.263 4.375 3.225
Ca 2.263 -4.375 6.719
Ca 2.263 -12.049 0.000
Zn 2.263 9.784 1.203
Zn 2.263 7.350 4.423
Zn 2.263 7.267 1.736
Zn 2.263 3.074 0.054
Zn 2.263 1.307 2.197
Zn 2.263 -1.307 5.691
Zn 2.263 -3.074 3.548
Zn 2.263 -7.267 5.229
Zn 2.263 -7.350 0.929
Zn 2.263 -9.784 4.697
Au 2.263 9.770 5.404
Au 2.263 5.716 6.549
Au 2.263 1.312 4.984
Au 2.263 -1.312 1.490
Au 2.263 -5.716 3.055
Au 2.263 -9.770 1.910
CELL_PARAMETERS angstrom
2.263 -12.461 0.000
2.263 12.461 0.000
0.000 0.000 6.988
```

Properties
As for the formation energy: -441 meV per atom. For the excess energy over the best structure of this formula in the dataset, the calculation gives 0 meV/atom.

=====

VASP calculation (PBE) on an optimized crystal structure of Ca2Zn3Au9. Values from VASP.

```
&SYSTEM
  ibrav = 0, nat = 14, ntyp = 3
/
ATOMIC_SPECIES
Ca 40.08 Ca.upf
Zn 65.41 Zn.upf
Au 196.97 Au.upf
ATOMIC_POSITIONS angstrom
Ca 1.345 2.513 2.414
Ca 1.345 -2.513 7.550
Zn 0.000 0.000 4.982
Zn 2.689 0.000 0.000
Zn 2.689 0.000 4.982
Au 0.000 0.000 0.000
Au 1.345 2.513 5.407
Au 1.345 2.513 9.376
Au 1.357 0.495 7.383
Au 1.357 -0.495 2.581
Au 1.345 -2.513 0.588
Au 1.345 -2.513 4.557
Au 4.021 0.495 2.581
Au 4.021 -0.495 7.383
CELL_PARAMETERS angstrom
2.689 -5.026 0.000
2.689 5.026 0.000
0.000 0.000 9.964
```

Properties
As for the formation energy: -445 meV per atom. For the excess energy over the best structure of this formula in the dataset, the calculation gives 3 meV/atom.

=====

VASP calculation (PBE) on an optimized crystal structure of Ca2Zn2Au3. Values from VASP.

```
&SYSTEM
  ibrav = 0, nat = 7, ntyp = 3
/
ATOMIC_SPECIES
Ca 40.08 Ca.upf
Zn 65.41 Zn.upf
Au 196.97 Au.upf
ATOMIC_POSITIONS angstrom
Ca 0.888 0.000 1.821
Ca 7.332 0.000 4.596
Zn 3.870 0.000 0.492
Zn 4.351 0.000 5.924
Au 0.195 0.000 4.845
Au 4.110 0.000 3.208
Au 8.025 0.000 1.571
CELL_PARAMETERS angstrom
5.082 -2.277 0.000
5.082 2.277 0.000
-1.943 0.000 6.416
```

Properties
As for the formation energy: -579 meV per atom.

=====

VASP calculation (PBE) on an optimized crystal structure of Ca4Zn2Au. Values from VASP.

```
&SYSTEM
  ibrav = 0, nat = 7, ntyp = 3
/
ATOMIC_SPECIES
Ca 40.08 Ca.upf
Zn 65.41 Zn.upf
Au 196.97 Au.upf
ATOMIC_POSITIONS angstrom
Ca 1.840 1.840 -1.813
Ca 1.840 -1.840 1.813
Ca -1.840 1.840 1.813
Ca 1.840 1.840 1.813
Zn 3.680 0.000 0.000
Zn 0.000 3.680 0.000
Au 0.000 0.000 0.000
CELL_PARAMETERS angstrom
-3.680 3.680 3.627
3.680 -3.680 3.627
3.680 3.680 -3.627
```

Properties
As for the formation energy: -318 meV per atom.

=====

VASP calculation (PBE) on an optimized crystal structure of Ca3Zn6Au5. Values from VASP.

```
&SYSTEM
  ibrav = 0, nat = 28, ntyp = 3
/
ATOMIC_SPECIES
Ca 40.08 Ca.upf
Zn 65.41 Zn.upf
Au 196.97 Au.upf
ATOMIC_POSITIONS angstrom
Ca 1.103 0.793 2.418
Ca 1.103 5.766 2.418
Ca 1.103 9.837 2.337
Ca 3.308 3.279 7.333
Ca 3.308 7.351 7.251
Ca 3.308 12.324 7.251
Zn 1.103 0.925 8.789
Zn 1.103 3.279 0.428
Zn 1.103 3.279 4.530
Zn 1.103 5.633 8.789
Zn 1.103 7.863 4.984
Zn 1.103 11.812 4.984
Zn 3.308 1.305 4.685
Zn 3.308 5.254 4.685
Zn 3.308 7.484 0.880
Zn 3.308 9.837 5.139
Zn 3.308 9.837 9.241
Zn 3.308 12.191 0.880
Au 1.103 1.165 6.161
Au 1.103 5.394 6.161
Au 1.103 8.269 9.283
Au 1.103 9.837 6.793
Au 1.103 11.406 9.283
Au 3.308 1.711 0.387
Au 3.308 3.279 2.876
Au 3.308 4.847 0.387
Au 3.308 7.723 3.508
Au 3.308 11.952 3.508
CELL_PARAMETERS angstrom
4.411 0.000 0.000
0.000 13.117 0.000
0.000 0.000 9.669
```

Properties
As for the formation energy: -513 meV per atom.